Computed, not measured: a geometry-optimized Er2NpBiO8 structure at the PBE level of DFT.

- Magnetic moment: 0.25 μB per formula unit
- Total DFT energy (no corrections): -196.3 eV per cell

Cell lengths 7.1481, 7.2630, 7.0344 Å; angles 90.00, 90.00, 90.00 degrees
With the nearest neighbours (Å) after each atom.
Space group Cmmm (No. 65)
Asymmetric unit:
Er: 0.0000 0.0000 0.2442  6 O 2.17-2.37
Np: 0.0000 0.5000 0.5000  6 O 2.03-2.06
Bi: 0.0000 0.5000 0.0000  6 O 2.25-2.41
O: 0.0000 0.3118 0.2818  1 Np 2.06, 1 Er 2.28
O: 0.1847 0.0000 0.0000  2 Er 2.17, 1 Bi 2.25
O: 0.2158 0.0000 0.5000  1 Np 2.03